# 1
A plane-wave DFT calculation with GGA-PBE was carried out for a relaxed ZrAg2Te crystal.

abc: 5.700 10.442 3.049
angles: 90.00 108.30 90.00
Positions (direct):
Zr 0.000 0.000 0.000
Zr 0.500 0.500 0.000
Ag 0.250 0.250 0.500
Ag 0.250 0.750 0.500
Ag 0.750 0.250 0.500
Ag 0.750 0.750 0.500
Te 0.000 0.500 0.000
Te 0.500 0.000 0.000

Values from the calculation:
Symmetry: No. 12
ΔE_f (raw) (eV/atom): 0.020
V (Å³ per atom): 21.54
Relative energy among the computed polymorphs (meV per atom): 228



# 2
A plane-wave DFT calculation with GGA-PBE was carried out for a relaxed Zr2AgTe crystal.

abc: 3.800 3.814 6.164
angles: 90.00 90.00 90.00
Positions (direct):
Zr 0.000 0.000 0.000
Zr 0.500 0.500 0.272
Ag 0.000 0.000 0.487
Te 0.500 0.500 0.776

Values from the calculation:
Symmetry: No. 25
ΔE_f (raw) (eV/atom): -0.309
V (Å³ per atom): 22.33
Relative energy among the computed polymorphs (meV per atom): 1



# 3
A plane-wave DFT calculation with GGA-PBE was carried out for a relaxed Zr2AgTe crystal.

abc: 3.548 4.934 9.960
angles: 90.00 90.00 90.00
Positions (direct):
Zr 0.000 0.000 0.000
Zr 0.000 0.500 0.238
Zr 0.500 0.000 0.738
Zr 0.500 0.500 0.500
Ag 0.000 0.000 0.485
Ag 0.500 0.500 0.985
Te 0.000 0.500 0.743
Te 0.500 0.000 0.243

Values from the calculation:
Symmetry: No. 44
ΔE_f (raw) (eV/atom): -0.224
V (Å³ per atom): 21.80
Relative energy among the computed polymorphs (meV per atom): 86



# 4
A plane-wave DFT calculation with GGA-PBE was carried out for a relaxed ZrAg3Te4 crystal.

abc: 6.506 6.506 6.506
angles: 90.00 90.00 90.00
Positions (direct):
Zr 0.000 0.000 0.000
Ag 0.000 0.000 0.500
Ag 0.000 0.500 0.000
Ag 0.500 0.000 0.000
Te 0.249 0.249 0.249
Te 0.249 0.751 0.751
Te 0.751 0.249 0.751
Te 0.751 0.751 0.249

Values from the calculation:
Symmetry: No. 215
ΔE_f (raw) (eV/atom): -0.353
V (Å³ per atom): 34.43



# 5
A plane-wave DFT calculation with GGA-PBE was carried out for a relaxed ZrAg2Te crystal.

abc: 3.917 3.917 21.931
angles: 90.00 90.00 120.00
Positions (direct):
Zr 0.000 0.000 0.000
Zr 0.333 0.667 0.667
Zr 0.667 0.333 0.333
Ag 0.000 0.000 0.485
Ag 0.000 0.000 0.744
Ag 0.333 0.667 0.151
Ag 0.333 0.667 0.410
Ag 0.667 0.333 0.077
Ag 0.667 0.333 0.818
Te 0.000 0.000 0.248
Te 0.333 0.667 0.915
Te 0.667 0.333 0.582

Values from the calculation:
Symmetry: No. 160
ΔE_f (raw) (eV/atom): -0.070
V (Å³ per atom): 24.28
Relative energy among the computed polymorphs (meV per atom): 139



# 6
A plane-wave DFT calculation with GGA-PBE was carried out for a relaxed ZrAg2Te crystal.

abc: 6.984 6.984 6.984
angles: 90.00 90.00 90.00
Positions (direct):
Zr 0.000 0.000 0.000
Zr 0.000 0.500 0.500
Zr 0.500 0.000 0.500
Zr 0.500 0.500 0.000
Ag 0.000 0.000 0.500
Ag 0.000 0.500 0.000
Ag 0.250 0.250 0.750
Ag 0.250 0.750 0.250
Ag 0.500 0.000 0.000
Ag 0.500 0.500 0.500
Ag 0.750 0.250 0.250
Ag 0.750 0.750 0.750
Te 0.250 0.250 0.250
Te 0.250 0.750 0.750
Te 0.750 0.250 0.750
Te 0.750 0.750 0.250

Values from the calculation:
Symmetry: No. 216
ΔE_f (raw) (eV/atom): -0.019
V (Å³ per atom): 21.29
Relative energy among the computed polymorphs (meV per atom): 189